No. 1
Here is La2Dy5YEr after structural relaxation from the Alexandria database. Energies are from GGA-PBE.

Calculated values
Symmetry ... No. 36
Energy ... -4.74 eV/atom

abc: 10.360 10.360 10.706
angles: 90.00 90.00 148.34
Fractional positions:
La 0.113 0.887 0.500
La 0.116 0.884 0.084
La 0.884 0.116 0.584
La 0.887 0.113 0.000
Dy 0.016 0.984 0.790
Dy 0.280 0.720 0.075
Dy 0.299 0.701 0.473
Dy 0.387 0.613 0.788
Dy 0.481 0.519 0.507
Dy 0.519 0.481 0.007
Dy 0.613 0.387 0.288
Dy 0.701 0.299 0.973
Dy 0.720 0.280 0.575
Dy 0.984 0.016 0.290
Y 0.412 0.588 0.228
Y 0.588 0.412 0.728
Er 0.201 0.799 0.778
Er 0.799 0.201 0.278

***

No. 2
Here is BaCdCu2 after structural relaxation from the Alexandria database. Energies are from GGA-PBE.

Calculated values
Symmetry ... No. 8
Energy ... -2.82 eV/atom

abc: 4.449 4.449 6.494
angles: 110.14 110.14 60.03
Fractional positions:
Ba 0.000 0.000 0.000
Cd 0.810 0.810 0.428
Cu 0.201 0.201 0.602
Cu 0.531 0.531 0.591

***

No. 3
Here is CsTiTlBi2 after structural relaxation from the Alexandria database. Energies are from GGA-PBE.

Calculated values
Symmetry ... No. 123
Energy ... -3.90 eV/atom

abc: 5.547 5.547 5.704
angles: 90.00 90.00 90.00
Fractional positions:
Cs 0.000 0.000 0.000
Ti 0.500 0.500 0.500
Tl 0.500 0.500 0.000
Bi 0.000 0.500 0.500
Bi 0.500 0.000 0.500

***

No. 4
Here is InPAu4 after structural relaxation from the Alexandria database. Energies are from GGA-PBE.

Calculated values
Symmetry ... No. 216
Energy ... -3.30 eV/atom

abc: 5.543 5.543 5.543
angles: 60.00 60.00 60.00
Fractional positions:
In 0.000 0.000 0.000
P 0.750 0.750 0.750
Au 0.375 0.375 0.375
Au 0.375 0.375 0.875
Au 0.375 0.875 0.375
Au 0.875 0.375 0.375

***

No. 5
Here is CaRh2Br after structural relaxation from the Alexandria database. Energies are from GGA-PBE.

Calculated values
Symmetry ... No. 225
E_form (uncorrected) ... 239 meV/atom

abc: 4.712 4.712 4.712
angles: 60.00 60.00 60.00
Fractional positions:
Ca 0.000 0.000 0.000
Rh 0.250 0.250 0.250
Rh 0.750 0.750 0.750
Br 0.500 0.500 0.500

***

No. 6
Here is LaEr2Zr after structural relaxation from the Alexandria database. Energies are from GGA-PBE.

Calculated values
Symmetry ... No. 160
Energy ... -5.57 eV/atom

abc: 11.576 11.576 11.576
angles: 17.22 17.22 17.22
Fractional positions:
La 0.000 0.000 0.000
Er 0.575 0.575 0.575
Er 0.756 0.756 0.756
Zr 0.166 0.166 0.166